Below is a relaxed structure of MgV2S, with properties calculated at the PBE level.

a b c (Å): 3.588 3.588 9.742
angles (deg): 79.39 79.39 90.00
Sites, in units of the cell vectors:
Mg: 0.500 0.500 0.000
Mg: 0.250 0.750 0.500
V: 0.375 0.356 0.750
V: 0.644 0.125 0.250
V: 0.875 0.894 0.750
V: 0.106 0.625 0.250
S: 0.750 0.250 0.500
S: 0.000 0.000 0.000

Output
E_tot = -5.84 eV per atom
Magnetization = 0.000 Bohr magnetons per cell
E_form (uncorrected) = 0.152 eV per atom
Energy relative to the lowest polymorph listed for this composition = 0.000 eV/f.u.

---

Below is a relaxed structure of Ce2NdY, with properties calculated at the PBE level.

a b c (Å): 3.404 3.404 12.562
angles (deg): 82.21 82.21 60.00
Each line ends with the local moment (μB).
Sites, in units of the cell vectors:
Ce: 0.085 0.085 0.745  0.67
Ce: 0.915 0.915 0.255  0.67
Nd: 0.500 0.500 0.500  0.00
Y: 0.000 0.000 0.000  0.02

Output
E_tot = -5.53 eV per atom
Magnetization = 1.695 Bohr magnetons per cell
Energy relative to the elements = 24.0 kJ/mol of atoms
Energy relative to the lowest polymorph listed for this composition = 0.539 eV/f.u.

---

Below is a relaxed structure of AcNd2Y6, with properties calculated at the PBE level.

a b c (Å): 6.984 8.558 16.477
angles (deg): 138.19 90.00 90.00
Sites, in units of the cell vectors:
Nd: 0.500 0.965 0.885
Nd: 0.500 0.035 0.115
Nd: 0.000 0.465 0.385
Nd: 0.000 0.535 0.615
Y: 0.251 0.028 0.304
Y: 0.749 0.028 0.304
Y: 0.000 0.929 0.079
Y: 0.249 0.472 0.196
Y: 0.751 0.472 0.196
Y: 0.249 0.528 0.804
Y: 0.500 0.429 0.579
Y: 0.251 0.972 0.696
Y: 0.749 0.972 0.696
Y: 0.751 0.528 0.804
Y: 0.500 0.571 0.421
Y: 0.000 0.071 0.921
Ac: 0.500 0.500 0.000
Ac: 0.000 0.000 0.500

Output
E_tot = -5.63 eV per atom
Magnetization = 0.000 Bohr magnetons per cell
Energy relative to the elements = 19.2 kJ/mol of atoms
Energy relative to the lowest polymorph listed for this composition = 0.755 eV/f.u.

---

Below is a relaxed structure of CaNd6Sm2Y, with properties calculated at the PBE level.

a b c (Å): 9.967 9.088 9.088
angles (deg): 119.01 94.50 94.50
Sites, in units of the cell vectors:
Sm: 0.542 0.201 0.302
Sm: 0.458 0.799 0.698
Sm: 0.042 0.302 0.201
Sm: 0.958 0.698 0.799
Nd: 0.123 0.716 0.503
Nd: 0.052 0.120 0.765
Nd: 0.377 0.497 0.284
Nd: 0.877 0.284 0.497
Nd: 0.178 0.574 0.029
Nd: 0.678 0.029 0.574
Nd: 0.948 0.880 0.235
Nd: 0.448 0.235 0.880
Nd: 0.822 0.426 0.971
Nd: 0.322 0.971 0.426
Nd: 0.623 0.503 0.716
Nd: 0.552 0.765 0.120
Y: 0.250 0.976 0.024
Y: 0.750 0.024 0.976
Ca: 0.750 0.598 0.402
Ca: 0.250 0.402 0.598

Output
E_tot = -4.53 eV per atom
Magnetization = 0.000 Bohr magnetons per cell
Energy relative to the elements = 12.0 kJ/mol of atoms

---

Below is a relaxed structure of Er8InSn5, with properties calculated at the PBE level.

a b c (Å): 7.982 7.982 7.982
angles (deg): 109.48 109.46 109.48
Sites, in units of the cell vectors:
Er: 0.127 0.752 0.021
Er: 0.269 0.248 0.374
Er: 0.979 0.106 0.731
Er: 0.125 0.752 0.518
Er: 0.766 0.248 0.373
Er: 0.627 0.393 0.875
Er: 0.626 0.894 0.873
Er: 0.482 0.607 0.234
Sn: 0.750 0.624 0.626
Sn: 0.874 0.875 0.250
Sn: 0.002 0.376 0.126
Sn: 0.374 0.125 0.998
Sn: 0.500 0.000 0.500
In: 0.250 0.500 0.750

Output
E_tot = -4.86 eV per atom
Magnetization = 0.000 Bohr magnetons per cell
Energy relative to the elements = -60.9 kJ/mol of atoms

---

Below is a relaxed structure of Ba3As2O8, with properties calculated at the PBE level.

a b c (Å): 7.961 7.961 7.961
angles (deg): 43.34 43.34 43.34
Sites, in units of the cell vectors:
Ba: 0.000 0.000 0.000
Ba: 0.793 0.793 0.793
Ba: 0.207 0.207 0.207
O: 0.274 0.274 0.755
O: 0.672 0.672 0.672
O: 0.755 0.274 0.274
O: 0.274 0.755 0.274
O: 0.726 0.726 0.245
O: 0.726 0.245 0.726
O: 0.245 0.726 0.726
O: 0.328 0.328 0.328
As: 0.593 0.593 0.593
As: 0.407 0.407 0.407

Output
E_tot = -6.47 eV per atom
Magnetization = 0.000 Bohr magnetons per cell
E_form (uncorrected) = -2.260 eV per atom